(1)
# YTlTeBr2 (PBE-GGA, optimized geometry)
# crystal system = tetragonal
# magnetization = 0.000 μB/f.u.
# formation energy without anion corrections = -1216.4 meV/atom
data_YTlTeBr2
_symmetry_space_group_name_H-M 'P 4/m m m'
_symmetry_Int_Tables_number 123
_symmetry_space_group_name_Hall '-P 4 2'
_cell_length_a 5.5888
_cell_length_b 5.5888
_cell_length_c 6.0076
_cell_angle_alpha 90.00
_cell_angle_beta 90.00
_cell_angle_gamma 90.00
loop_
_atom_site_label
_atom_site_fract_x
_atom_site_fract_y
_atom_site_fract_z
_atom_site_occupancy
Y1 0.0000 0.0000 0.0000 1
Tl1 0.5000 0.5000 0.5000 1
Te1 0.0000 0.0000 0.5000 1
Br1 0.0000 0.5000 0.0000 1

***

(2)
# Tl2ZnTeBr (PBE-GGA, optimized geometry)
# crystal system = tetragonal
# magnetization = 0.000 μB/f.u.
# formation energy without anion corrections = -161.7 meV/atom
data_Tl2ZnTeBr
_symmetry_space_group_name_H-M 'P 4/m m m'
_symmetry_Int_Tables_number 123
_symmetry_space_group_name_Hall '-P 4 2'
_cell_length_a 5.9837
_cell_length_b 5.9837
_cell_length_c 5.0440
_cell_angle_alpha 90.00
_cell_angle_beta 90.00
_cell_angle_gamma 90.00
loop_
_atom_site_label
_atom_site_fract_x
_atom_site_fract_y
_atom_site_fract_z
_atom_site_occupancy
Tl1 0.0000 0.5000 0.0000 1
Zn1 0.0000 0.0000 0.0000 1
Te1 0.0000 0.0000 0.5000 1
Br1 0.5000 0.5000 0.5000 1

***

(3)
# ZrTlTeBr2 (PBE-GGA, optimized geometry)
# crystal system = tetragonal
# magnetization = 2.543 μB/f.u.
# formation energy without anion corrections = 737.6 meV/atom
data_ZrTlTeBr2
_symmetry_space_group_name_H-M 'P 4/m m m'
_symmetry_Int_Tables_number 123
_symmetry_space_group_name_Hall '-P 4 2'
_cell_length_a 5.5458
_cell_length_b 5.5458
_cell_length_c 6.4305
_cell_angle_alpha 90.00
_cell_angle_beta 90.00
_cell_angle_gamma 90.00
loop_
_atom_site_label
_atom_site_fract_x
_atom_site_fract_y
_atom_site_fract_z
_atom_site_occupancy
Zr1 0.0000 0.0000 0.0000 1
Tl1 0.5000 0.5000 0.0000 1
Te1 0.5000 0.5000 0.5000 1
Br1 0.0000 0.5000 0.5000 1

***

(4)
# Tm3TeBr7 (PBE-GGA, optimized geometry)
# crystal system = monoclinic
# magnetization = 0.000 μB/f.u.
# formation energy without anion corrections = -1771.9 meV/atom
data_Tm3TeBr7
_symmetry_space_group_name_H-M 'C 1 m 1'
_symmetry_Int_Tables_number 8
_symmetry_space_group_name_Hall 'C -2y'
_cell_length_a 14.2763
_cell_length_b 8.2594
_cell_length_c 10.1037
_cell_angle_alpha 90.00
_cell_angle_beta 134.88
_cell_angle_gamma 90.00
loop_
_atom_site_label
_atom_site_fract_x
_atom_site_fract_y
_atom_site_fract_z
_atom_site_occupancy
Tm1 0.0000 0.0000 0.0000 1
Tm2 0.2578 0.2572 0.5140 1
Te1 0.2091 0.5000 0.6761 1
Br1 0.0290 0.2368 0.8342 1
Br2 0.2295 0.0000 0.6601 1
Br3 0.2860 0.0000 0.3414 1
Br4 0.2924 0.5000 0.3598 1
Br5 0.4910 0.2613 0.1843 1

***

(5)
# UTe2Br5 (PBE-GGA, optimized geometry)
# crystal system = monoclinic
# magnetization = 1.200 μB/f.u.
# formation energy without anion corrections = -745.7 meV/atom
data_UTe2Br5
_symmetry_space_group_name_H-M 'C 1 m 1'
_symmetry_Int_Tables_number 8
_symmetry_space_group_name_Hall 'C -2y'
_cell_length_a 13.1538
_cell_length_b 11.8827
_cell_length_c 5.6232
_cell_angle_alpha 90.00
_cell_angle_beta 115.25
_cell_angle_gamma 90.00
loop_
_atom_site_label
_atom_site_fract_x
_atom_site_fract_y
_atom_site_fract_z
_atom_site_occupancy
U1 0.0000 0.0000 0.0000 1
Te1 0.0001 0.5000 0.2707 1
Te2 0.0001 0.5000 0.7472 1
Br1 0.0000 0.0000 0.5001 1
Br2 0.1577 0.1584 0.1580 1
Br3 0.3420 0.3419 0.8424 1

***

(6)
# U2TeBr4 (PBE-GGA, optimized geometry)
# crystal system = orthorhombic
# magnetization = 6.009 μB/f.u.
# formation energy without anion corrections = -1039.8 meV/atom
data_U2TeBr4
_symmetry_space_group_name_H-M 'C m m m'
_symmetry_Int_Tables_number 65
_symmetry_space_group_name_Hall '-C 2 2'
_cell_length_a 5.7675
_cell_length_b 22.9513
_cell_length_c 4.2581
_cell_angle_alpha 90.00
_cell_angle_beta 90.00
_cell_angle_gamma 90.00
loop_
_atom_site_label
_atom_site_fract_x
_atom_site_fract_y
_atom_site_fract_z
_atom_site_occupancy
U1 0.0000 0.0980 0.0000 1
Te1 0.0000 0.0000 0.5000 1
Br1 0.0000 0.1836 0.5000 1
Br2 0.0000 0.3961 0.0000 1

***

(7)
# UTeBr (PBE-GGA, optimized geometry)
# polymorph energy (0 for the lowest one) = 0.263 eV/atom
# crystal system = hexagonal
# magnetization = 2.977 μB/f.u.
# formation energy without anion corrections = -623.9 meV/atom
data_UTeBr
_symmetry_space_group_name_H-M 'P -6 m 2'
_symmetry_Int_Tables_number 187
_symmetry_space_group_name_Hall 'P -6 2'
_cell_length_a 4.9656
_cell_length_b 4.9656
_cell_length_c 3.9901
_cell_angle_alpha 90.00
_cell_angle_beta 90.00
_cell_angle_gamma 120.00
loop_
_atom_site_label
_atom_site_fract_x
_atom_site_fract_y
_atom_site_fract_z
_atom_site_occupancy
U1 0.0000 0.0000 0.0000 1
Te1 0.6667 0.3333 0.5000 1
Br1 0.3333 0.6667 0.0000 1

***

(8)
# UTeBr2 (PBE-GGA, optimized geometry)
# polymorph energy (0 for the lowest one) = 0.000 eV/atom
# crystal system = orthorhombic
# magnetization = 2.000 μB/f.u.
# formation energy without anion corrections = -943.3 meV/atom
data_UTeBr2
_symmetry_space_group_name_H-M 'C m c m'
_symmetry_Int_Tables_number 63
_symmetry_space_group_name_Hall '-C 2c 2'
_cell_length_a 4.0046
_cell_length_b 14.3809
_cell_length_c 9.3503
_cell_angle_alpha 90.00
_cell_angle_beta 90.00
_cell_angle_gamma 90.00
loop_
_atom_site_label
_atom_site_fract_x
_atom_site_fract_y
_atom_site_fract_z
_atom_site_occupancy
U1 0.0000 0.2351 0.2500 1
Te1 0.0000 0.4165 0.7500 1
Br1 0.0000 0.1604 0.5714 1

***

no.,total energy (eV for the cell shown)
1,-21.4
2,-11.6
3,-13.7
4,-95.5
5,-63.8
6,-79.4
7,-18.0
8,-86.2